(1)
Pr6Sb2Te3Pb, relaxed, DFT PBE; total moment = 0.0 μB/cell; formation energy from raw total energies = -1.256 eV per atom
1.0
-4.2893 0.4615 -1.5022
2.5528 -3.0300 -8.2198
-0.4363 -8.5494 5.5648
Pr Sb Te Pb
6 2 3 1
Direct
0.3352 0.9122 0.6705
0.6688 0.5777 0.3376
0.6648 0.0878 0.3295
0.0017 0.2461 0.0035
0.9983 0.7539 0.9965
0.3312 0.4223 0.6624
0.8331 0.6667 0.6662
0.1669 0.3333 0.3338
0.5000 0.5000 0.0000
0.8330 0.1673 0.6660
0.1670 0.8327 0.3340
0.5000 0.0000 0.0000

(2)
PrScPb2, relaxed, DFT PBE; energy of formation = -397.2 meV per atom; total moment = 0.0 μB/cell
1.0
-4.2441 0.3720 1.6175
1.3814 -2.2931 4.1520
1.1528 4.3572 2.0229
Pb Pr Sc
2 1 1
Direct
0.0000 0.0000 0.5000
0.0000 0.5000 0.0000
0.5000 0.5000 0.5000
0.5000 0.0000 0.0000